## AsIr (PBE-GGA)

Data for an optimized crystal structure of AsIr.

a = 6.707 Å, b = 6.707 Å, c = 3.841 Å
α = 90.00°, β = 90.00°, γ = 154.93°
Fractional positions:
Ir: 0.190 0.810 0.250
Ir: 0.810 0.190 0.750
As: 0.386 0.614 0.250
As: 0.614 0.386 0.750

Results
Volume (A^3/atom): 18.30
ΔH_f (0 K) (eV/atom): 0.052